A plane-wave DFT calculation with PBE was carried out for crystalline NaAlAs3 at its relaxed geometry.

Unit cell a=4.950 b=4.950 c=4.950 alpha=90.00 beta=90.00 gamma=90.00
Fractional positions:
Na1 0.500 0.500 0.500
As1 0.000 0.500 0.000
As2 0.000 0.000 0.500
As3 0.500 0.000 0.000
Al1 0.000 0.000 0.000

Results
- uncorrected energy (Ha/atom) = -0.1317
- V (Å³ per cell) = 121
- size of the total moment (μB per cell) = 0.000
- energy relative to the elements (eV/atom) = 0.22
- energy above the most stable polymorph in this dataset (eV/atom) = 0.0000